1.
## Th2Al2VRu5 (PBE)

Data for an optimized crystal structure of Th2Al2VRu5.

Structure (POSCAR):
```
Th2Al2VRu5
1.0
10.248 0.000 0.000
0.000 10.248 0.000
0.000 0.000 3.288
Th Al V Ru
4 4 2 10
direct
0.174 0.326 0.000
0.326 0.826 0.000
0.674 0.174 0.000
0.826 0.674 0.000
0.126 0.626 0.000
0.374 0.126 0.000
0.626 0.874 0.000
0.874 0.374 0.000
0.000 0.000 0.000
0.500 0.500 0.000
0.000 0.500 0.500
0.064 0.801 0.500
0.199 0.064 0.500
0.301 0.564 0.500
0.436 0.301 0.500
0.500 0.000 0.500
0.564 0.699 0.500
0.699 0.436 0.500
0.801 0.936 0.500
0.936 0.199 0.500
```

## Properties
- Space-group type: P4/mbm, No. 127
- Total magnetization: 0.00 μB/cell
- Total energy: -8.1602 eV per atom
- DFT formation energy: -0.378 eV/atom

***

2.
## Th2Al2ZnRu5 (PBE)

Data for an optimized crystal structure of Th2Al2ZnRu5.

Structure (POSCAR):
```
Th2Al2ZnRu5
1.0
10.054 0.000 0.000
0.000 10.054 0.000
0.000 0.000 3.456
Th Al Zn Ru
4 4 2 10
direct
0.176 0.324 0.000
0.324 0.824 0.000
0.676 0.176 0.000
0.824 0.676 0.000
0.123 0.623 0.000
0.377 0.123 0.000
0.623 0.877 0.000
0.877 0.377 0.000
0.000 0.000 0.000
0.500 0.500 0.000
0.000 0.500 0.500
0.074 0.797 0.500
0.203 0.074 0.500
0.297 0.574 0.500
0.426 0.297 0.500
0.500 0.000 0.500
0.574 0.703 0.500
0.703 0.426 0.500
0.797 0.926 0.500
0.926 0.203 0.500
```

## Properties
- Space-group type: P4/mbm, No. 127
- Total magnetization: 0.00 μB/cell
- Total energy: -7.3254 eV per atom
- DFT formation energy: -0.328 eV/atom

***

3.
## Th2ZrAl2Ru5 (PBE)

Data for an optimized crystal structure of Th2ZrAl2Ru5.

Structure (POSCAR):
```
Th2ZrAl2Ru5
1.0
10.312 0.000 0.000
0.000 10.312 0.000
0.000 0.000 3.408
Th Zr Al Ru
4 2 4 10
direct
0.175 0.325 0.000
0.325 0.825 0.000
0.675 0.175 0.000
0.825 0.675 0.000
0.000 0.000 0.000
0.500 0.500 0.000
0.123 0.623 0.000
0.377 0.123 0.000
0.623 0.877 0.000
0.877 0.377 0.000
0.000 0.500 0.500
0.070 0.792 0.500
0.208 0.070 0.500
0.292 0.570 0.500
0.430 0.292 0.500
0.500 0.000 0.500
0.570 0.708 0.500
0.708 0.430 0.500
0.792 0.930 0.500
0.930 0.208 0.500
```

## Properties
- Space-group type: P4/mbm, No. 127
- Total magnetization: 0.00 μB/cell
- Total energy: -8.2526 eV per atom
- DFT formation energy: -0.527 eV/atom

***

4.
## TiAlRu3 (PBE)

Data for an optimized crystal structure of TiAlRu3.

Structure (POSCAR):
```
TiAlRu3
1.0
4.478 0.000 0.000
0.000 4.478 0.000
0.000 0.000 4.478
Ti Al Ru
1 1 3
direct
0.000 0.000 0.000
0.500 0.500 0.500
0.000 0.000 0.500
0.000 0.500 0.000
0.500 0.000 0.000
```

## Properties
- E above lowest polymorph: 286.3 meV per atom
- Space-group type: Pm-3m, No. 221
- Total magnetization: 0.00 μB/cell
- Total energy: -6.9234 eV per atom
- DFT formation energy: 0.970 eV/atom

***

5.
## Ti6Al16Ru7 (PBE)

Data for an optimized crystal structure of Ti6Al16Ru7.

Structure (POSCAR):
```
Ti6Al16Ru7
1.0
0.000 6.071 6.071
6.071 0.000 6.071
6.071 6.071 0.000
Ti Al Ru
6 16 7
direct
0.215 0.215 0.785
0.215 0.785 0.215
0.215 0.785 0.785
0.785 0.215 0.215
0.785 0.215 0.785
0.785 0.785 0.215
0.138 0.621 0.621
0.156 0.156 0.156
0.156 0.156 0.533
0.156 0.533 0.156
0.379 0.379 0.379
0.379 0.379 0.862
0.379 0.862 0.379
0.467 0.844 0.844
0.533 0.156 0.156
0.621 0.138 0.621
0.621 0.621 0.138
0.621 0.621 0.621
0.844 0.467 0.844
0.844 0.844 0.467
0.844 0.844 0.844
0.862 0.379 0.379
0.000 0.000 0.500
0.000 0.500 0.000
0.000 0.500 0.500
0.500 0.000 0.000
0.500 0.000 0.500
0.500 0.500 0.000
0.500 0.500 0.500
```

## Properties
- Space-group type: Fm-3m, No. 225
- Total magnetization: 0.01 μB/cell
- Total energy: -6.4818 eV per atom
- DFT formation energy: -0.545 eV/atom

***

6.
## TiAlRu3 (PBE)

Data for an optimized crystal structure of TiAlRu3.

Structure (POSCAR):
```
TiAlRu3
1.0
4.369 0.000 0.000
0.000 4.369 0.000
0.000 0.000 4.369
Ti Al Ru
1 1 3
direct
0.000 0.000 0.000
0.500 0.500 0.500
0.000 0.500 0.500
0.500 0.000 0.500
0.500 0.500 0.000
```

## Properties
- E above lowest polymorph: 0.0 meV per atom
- Space-group type: Pm-3m, No. 221
- Total magnetization: 0.00 μB/cell
- Total energy: -7.2098 eV per atom
- DFT formation energy: 0.683 eV/atom

***

7.
## TiAl2Ru2 (PBE)

Data for an optimized crystal structure of TiAl2Ru2.

Structure (POSCAR):
```
TiAl2Ru2
1.0
6.964 0.000 0.000
0.000 6.964 0.000
0.000 0.000 3.076
Ti Al Ru
2 4 4
direct
0.000 0.000 0.000
0.500 0.500 0.000
0.144 0.356 0.500
0.356 0.856 0.500
0.644 0.144 0.500
0.856 0.644 0.500
0.154 0.654 0.000
0.346 0.154 0.000
0.654 0.846 0.000
0.846 0.346 0.000
```

## Properties
- E above lowest polymorph: 43.3 meV per atom
- Space-group type: P4/mbm, No. 127
- Total magnetization: 0.00 μB/cell
- Total energy: -7.3064 eV per atom
- DFT formation energy: -0.520 eV/atom

***

8.
## Ti5AlRu6 (PBE)

Data for an optimized crystal structure of Ti5AlRu6.

Structure (POSCAR):
```
Ti5AlRu6
1.0
-2.171 3.070 6.504
2.171 -3.070 6.504
2.171 3.070 -6.504
Ti Al Ru
5 1 6
direct
0.000 0.000 0.000
0.168 0.668 0.500
0.338 0.338 0.000
0.662 0.662 0.000
0.832 0.332 0.500
0.500 0.000 0.500
0.081 0.832 0.249
0.247 0.500 0.747
0.417 0.168 0.249
0.583 0.832 0.751
0.753 0.500 0.253
0.919 0.168 0.751
```

## Properties
- Space-group type: Immm, No. 71
- Total magnetization: 0.00 μB/cell
- Total energy: -9.0251 eV per atom
- DFT formation energy: -0.786 eV/atom

***

9.
## TiAlRu2 (PBE)

Data for an optimized crystal structure of TiAlRu2.

Structure (POSCAR):
```
TiAlRu2
1.0
4.272 0.000 0.000
0.000 4.272 0.000
0.000 0.000 3.081
Ti Al Ru
1 1 2
direct
0.000 0.000 0.000
0.500 0.500 0.000
0.000 0.500 0.500
0.500 0.000 0.500
```

## Properties
- Space-group type: P4/mmm, No. 123
- Total magnetization: 0.00 μB/cell
- Total energy: -8.3111 eV per atom
- DFT formation energy: -0.764 eV/atom

***

10.
## Ti5Al2Ru (PBE)

Data for an optimized crystal structure of Ti5Al2Ru.

Structure (POSCAR):
```
Ti5Al2Ru
1.0
-1.922 1.922 8.677
1.922 -1.922 8.677
1.922 1.922 -8.677
Ti Al Ru
5 2 1
direct
0.000 0.000 0.000
0.128 0.628 0.500
0.372 0.872 0.500
0.628 0.128 0.500
0.872 0.372 0.500
0.250 0.250 0.000
0.750 0.750 0.000
0.500 0.500 0.000
```

## Properties
- Space-group type: I4/mmm, No. 139
- Total magnetization: 1.16 μB/cell
- Total energy: -7.2882 eV per atom
- DFT formation energy: -0.259 eV/atom

***

11.
## TiAl3Ru4 (PBE)

Data for an optimized crystal structure of TiAl3Ru4.

Structure (POSCAR):
```
TiAl3Ru4
1.0
-2.141 2.141 6.035
2.141 -2.141 6.035
2.141 2.141 -6.035
Ti Al Ru
1 3 4
direct
0.000 0.000 0.000
0.250 0.250 0.000
0.500 0.500 0.000
0.750 0.750 0.000
0.128 0.628 0.500
0.372 0.872 0.500
0.628 0.128 0.500
0.872 0.372 0.500
```

## Properties
- Space-group type: I4/mmm, No. 139
- Total magnetization: 0.00 μB/cell
- Total energy: -7.7619 eV per atom
- DFT formation energy: -0.734 eV/atom

***

12.
## Ti2AlRu (PBE)

Data for an optimized crystal structure of Ti2AlRu.

Structure (POSCAR):
```
Ti2AlRu
1.0
3.162 0.000 0.000
0.000 3.162 0.000
0.000 0.000 6.145
Ti Al Ru
2 1 1
direct
0.000 0.000 0.237
0.000 0.000 0.763
0.500 0.500 0.500
0.500 0.500 0.000
```

## Properties
- Space-group type: P4/mmm, No. 123
- Total magnetization: 0.00 μB/cell
- Total energy: -7.7027 eV per atom
- DFT formation energy: -0.501 eV/atom